{"formula": "NaSe2O", "functional": "PBE", "state": "relaxed", "cell": [[2.393, 1.382, 5.787], [-2.393, 1.382, 5.787], [0.000, -2.763, 5.787]], "species": ["Na", "Se", "Se", "O"], "fractional_positions": [[0.000, 0.000, 0.000], [0.395, 0.395, 0.395], [0.605, 0.605, 0.605], [0.500, 0.500, 0.500]], "raw_formation_energy_ev_per_atom": -0.1603, "dft_energy_ev_per_atom": -3.47, "crystal_system": "trigonal", "magmom_total_mub_per_fu": 0.0}

=====

{"formula": "Na4SeO5", "functional": "PBE", "state": "relaxed", "cell": [[-3.613, 3.613, 2.484], [3.613, -3.613, 2.484], [3.613, 3.613, -2.484]], "species": ["Na", "Na", "Na", "Na", "Se", "O", "O", "O", "O", "O"], "fractional_positions": [[0.104, 0.293, 0.397], [0.293, 0.896, 0.190], [0.707, 0.104, 0.810], [0.896, 0.707, 0.603], [0.541, 0.541, 0.000], [0.240, 0.546, 0.834], [0.406, 0.240, 0.693], [0.546, 0.713, 0.307], [0.713, 0.406, 0.166], [0.889, 0.889, 0.000]], "raw_formation_energy_ev_per_atom": -1.3342, "dft_energy_ev_per_atom": -4.69, "crystal_system": "tetragonal", "relative_energy_mev_per_atom": 8, "magmom_total_mub_per_fu": 0.0}

=====

{"formula": "NaSeO3", "functional": "PBE", "state": "relaxed", "cell": [[12.020, -2.857, 0.000], [12.020, 2.857, 0.000], [-2.242, 0.000, 10.718]], "species": ["Na", "Na", "Na", "Na", "Na", "Na", "Na", "Na", "Se", "Se", "Se", "Se", "Se", "Se", "Se", "Se", "O", "O", "O", "O", "O", "O", "O", "O", "O", "O", "O", "O", "O", "O", "O", "O", "O", "O", "O", "O", "O", "O", "O", "O"], "fractional_positions": [[0.028, 0.225, 0.381], [0.225, 0.028, 0.881], [0.245, 0.256, 0.620], [0.256, 0.245, 0.120], [0.744, 0.755, 0.880], [0.755, 0.744, 0.380], [0.775, 0.972, 0.119], [0.972, 0.775, 0.619], [0.174, 0.777, 0.928], [0.223, 0.826, 0.572], [0.251, 0.420, 0.939], [0.420, 0.251, 0.439], [0.580, 0.749, 0.561], [0.749, 0.580, 0.061], [0.777, 0.174, 0.428], [0.826, 0.223, 0.072], [0.028, 0.056, 0.953], [0.036, 0.841, 0.797], [0.038, 0.597, 0.039], [0.056, 0.028, 0.453], [0.127, 0.490, 0.795], [0.135, 0.480, 0.469], [0.159, 0.964, 0.703], [0.363, 0.451, 0.966], [0.403, 0.962, 0.461], [0.451, 0.363, 0.466], [0.480, 0.135, 0.969], [0.490, 0.127, 0.295], [0.510, 0.873, 0.705], [0.520, 0.865, 0.031], [0.549, 0.637, 0.534], [0.597, 0.038, 0.539], [0.637, 0.549, 0.034], [0.841, 0.036, 0.297], [0.865, 0.520, 0.531], [0.873, 0.510, 0.205], [0.944, 0.972, 0.547], [0.962, 0.403, 0.961], [0.964, 0.159, 0.203], [0.972, 0.944, 0.047]], "raw_formation_energy_ev_per_atom": -1.1273, "dft_energy_ev_per_atom": -5.06, "crystal_system": "monoclinic", "magmom_total_mub_per_fu": 0.0}